Here is an optimized crystal structure of AcMoO6 from Alexandria. Energies are from PBE with a Hubbard U.

The structure in POSCAR format:
```
AcMoO6
1.0
0.000 4.427 4.427
4.427 0.000 4.427
4.427 4.427 0.000
Ac Mo O
1 1 6
Direct
0.000 0.000 0.000
0.500 0.500 0.500
0.283 0.283 0.717
0.283 0.717 0.283
0.283 0.717 0.717
0.717 0.283 0.283
0.717 0.283 0.717
0.717 0.717 0.283
```

Output
- Polymorph energy (0 for the lowest one): 384 meV per atom
- Crystal system: cubic
- Calculated total energy: -6.582 eV per atom